VASP calculation (PBE-GGA) on KGeCl3 after structural relaxation.

abc: 5.468 7.152 8.199
angles: 88.50 87.23 88.89
Positions (direct):
K  0.000  0.000  0.000
K  0.012  0.488  0.366
Ge  0.496  0.441  0.879
Ge  0.505  0.966  0.409
Cl  0.062  0.970  0.404
Cl  0.064  0.461  0.948
Cl  0.475  0.565  0.606
Cl  0.501  0.122  0.799
Cl  0.542  0.247  0.244
Cl  0.552  0.765  0.180

Summary:
For the calculated volume, the calculation gives 32.01 Å³ per atom. As for the uncorrected formation energy: -1.273 eV/atom. The total energy is -3.52 eV per atom.